Entry 1:
The following is a DFT calculation (GGA-PBE) of crystalline AcInGe2 at its relaxed geometry.

Calculated formation energy: -0.315 eV/atom
Polymorph energy (0 for the lowest one): 84 meV/atom

Lattice parameters (Å, degrees): 4.8081 4.8081 15.9556 90.00 90.00 120.00
Last column: nearest neighbours and their distance in Å.
Space group R-3m (No. 166, hexagonal axes)
Symmetry-distinct sites (fractional):
Ac1 0.0000 0.0000 0.0000  8 Ge 3.37-3.42
In1 0.0000 0.0000 0.5000  6 Ge 2.88
Ge1 0.0000 0.0000 0.2141  3 In 2.88, 3 Ge 3.16

***

Entry 2:
The following is a DFT calculation (GGA-PBE) of crystalline Nd4AlZn at its relaxed geometry.

Calculated formation energy: 0.005 eV/atom
Polymorph energy (0 for the lowest one): 194 meV/atom

Lattice parameters (Å, degrees): 5.1359 5.1359 7.2985 90.00 90.00 90.00
Last column: nearest neighbours and their distance in Å.
Space group P4/mmm (No. 123)
Symmetry-distinct sites (fractional):
Nd1 0.0000 0.5000 0.2464  2 Zn 3.14, 2 Al 3.17
Al1 0.0000 0.0000 0.5000  8 Nd 3.17
Zn1 0.5000 0.5000 0.0000  8 Nd 3.14

***

Entry 3:
The following is a DFT calculation (GGA-PBE) of crystalline Ca2ZrBr at its relaxed geometry.

Raw formation energy: -89 meV per atom
Polymorph energy (0 for the lowest one): 385 meV/atom

Lattice parameters (Å, degrees): 5.9185 5.9185 3.4684 90.00 90.00 90.00
Last column: nearest neighbours and their distance in Å.
Space group P4/mmm (No. 123)
Symmetry-distinct sites (fractional):
Ca1 0.0000 0.5000 0.0000  4 Zr 3.43, 4 Br 3.43, 2 Ca 3.47
Zr1 0.0000 0.0000 0.5000  8 Ca 3.43, 2 Zr 3.47
Br1 0.5000 0.5000 0.5000  8 Ca 3.43, 2 Br 3.47

***

Copy entry 1 word for word.
The following is a DFT calculation (GGA-PBE) of crystalline AcInGe2 at its relaxed geometry.

Calculated formation energy: -0.315 eV/atom
Polymorph energy (0 for the lowest one): 84 meV/atom

Lattice parameters (Å, degrees): 4.8081 4.8081 15.9556 90.00 90.00 120.00
Last column: nearest neighbours and their distance in Å.
Space group R-3m (No. 166, hexagonal axes)
Symmetry-distinct sites (fractional):
Ac1 0.0000 0.0000 0.0000  8 Ge 3.37-3.42
In1 0.0000 0.0000 0.5000  6 Ge 2.88
Ge1 0.0000 0.0000 0.2141  3 In 2.88, 3 Ge 3.16